First-principles (PBE-GGA) data for a geometry-optimized Ac2BiHPt6 structure, as listed in Alexandria.

For the total energy, the calculation gives -5.6936 eV/atom.

The space group is C2/m (No. 12) and the conventional cell measures 9.4124, 9.4431 and 6.6531 Å, with angles of 90.00, 134.83 and 90.00 degrees. The inequivalent atoms are Ac at (0.0000, 0.2500, 0.0000), Bi at (0.0000, 0.0000, 0.5000), H at (0.0000, 0.5000, 0.5000), Pt at (0.0000, 0.2862, 0.5000), Pt at (0.2134, 0.5000, 0.5005) and Pt at (0.2141, 0.5000, 0.9280).



First-principles (PBE-GGA) data for a geometry-optimized AcBiH6Pt2 structure, as listed in Alexandria.

For the total energy, the calculation gives -4.3296 eV/atom.

The space group is C2/c (No. 15) and the conventional cell measures 9.5957, 9.5406 and 6.6624 Å, with angles of 90.00, 115.31 and 90.00 degrees. The inequivalent atoms are Ac at (0.0000, 0.1596, 0.2500), Bi at (0.0000, 0.4232, 0.7500), H at (0.0864, 0.1615, 0.6834), H at (0.1675, 0.0432, 0.0505), H at (0.1747, 0.2821, 0.0936) and Pt at (0.2479, 0.4149, 0.2663).



First-principles (PBE-GGA) data for a geometry-optimized AcBiH6Rh3 structure, as listed in Alexandria.

For the total energy, the calculation gives -4.8687 eV/atom.

The space group is R3 (No. 146, hexagonal axes) and the conventional cell measures 7.5263, 7.5263 and 8.4471 Å, with angles of 90.00, 90.00 and 120.00 degrees. The inequivalent atoms are Ac at (0.0000, 0.0000, 0.0000), Bi at (0.0000, 0.0000, 0.5940), H at (0.0634, 0.3442, 0.8191), H at (0.1495, 0.7019, 0.9394) and Rh at (0.0424, 0.2536, 0.3404).



First-principles (PBE-GGA) data for a geometry-optimized AcBiHRh2 structure, as listed in Alexandria.

For the total energy, the calculation gives -5.6910 eV/atom.

The space group is Cmcm (No. 63) and the conventional cell measures 4.2729, 12.0120 and 7.5444 Å, with angles of 90.00, 90.00 and 90.00 degrees. The inequivalent atoms are Ac at (0.0000, 0.0592, 0.2500), Bi at (0.0000, 0.2198, 0.7500), H at (0.0000, 0.5000, 0.0000) and Rh at (0.0000, 0.3550, 0.0489).